The following is a PBE+U calculation of LiLa4FeO8 after structural relaxation, from Alexandria via LeMat-Bulk.

Summary:
Final energy ... -7.606 eV/atom
Size of the total moment ... 1.0 μB/cell
Density ... 6.73 g/cm3
Symmetry ... No. 65

Cell lengths 5.392, 5.405, 6.874 Å; angles 90.00, 113.09, 90.00 degrees
Atoms (fractional coordinates):
1 La 0.636 0.500 0.273
2 La 0.364 0.500 0.727
3 La 0.864 0.000 0.728
4 La 0.136 0.000 0.272
5 O 0.818 0.500 0.635
6 O 0.250 0.244 0.000
7 O 0.250 0.756 0.000
8 O 0.182 0.500 0.365
9 O 0.750 0.756 0.000
10 O 0.669 0.000 0.338
11 O 0.331 0.000 0.662
12 O 0.750 0.244 0.000
13 Li 0.000 0.500 0.000
14 Fe 0.500 0.000 0.000